DFT (SCAN) results for a crystal of Cu2TeMo relaxed with PBEsol.

Computed properties:
* size of the total moment: 0.0 μB/cell
* density: 9418 kg/m3
* DFT total energy: -100.34 eV/cell
* energy relative to the elements, uncorrected: 0.5499 eV per atom

Cell: 2.9176 4.8160 4.8160 Å, 114.00 90.00 90.00°
With the nearest neighbours (Å) after each atom.
Sites, in units of the cell vectors:
Cu (0.0000, 0.5000, 0.0000)  4 Cu 2.62-2.92, 4 Mo 2.82, 4 Te 2.82
Te (0.5000, 0.0000, 0.0000)  2 Mo 2.62, 8 Cu 2.82, 2 Te 2.92
Cu (0.0000, 0.0000, 0.5000)  4 Cu 2.62-2.92, 4 Te 2.82, 4 Mo 2.82
Mo (0.5000, 0.5000, 0.5000)  2 Te 2.62, 8 Cu 2.82, 2 Mo 2.92

DFT (SCAN) results for a crystal of TiCuMo3 relaxed with PBEsol.

Computed properties:
* size of the total moment: 0.0 μB/cell
* density: 7503 kg/m3
* DFT total energy: -128.35 eV/cell

Cell: 4.4540 4.4540 4.4540 Å, 90.00 90.00 90.00°
With the nearest neighbours (Å) after each atom.
Sites, in units of the cell vectors:
Mo (0.0000, 0.0000, 0.5000)  2 Cu 2.23
Mo (0.0000, 0.5000, 0.0000)  2 Cu 2.23
Mo (0.5000, 0.0000, 0.0000)  2 Cu 2.23
Cu (0.0000, 0.0000, 0.0000)  6 Mo 2.23
Ti (0.5000, 0.5000, 0.5000)  12 Mo 3.15

DFT (SCAN) results for a crystal of TlCuMo2 relaxed with PBEsol.

Computed properties:
* size of the total moment: 0.0 μB/cell
* density: 11770 kg/m3
* DFT total energy: -154.88 eV/cell

Cell: 2.7416 4.1039 5.7655 Å, 90.00 90.00 90.00°
With the nearest neighbours (Å) after each atom.
Sites, in units of the cell vectors:
Mo (0.5000, 0.5000, 0.2205)  1 Cu 2.62, 6 Mo 2.74-2.77
Mo (0.0000, 0.0000, 0.0017)  6 Mo 2.74-2.77, 4 Cu 2.82, 2 Tl 2.83-2.94
Cu (0.5000, 0.5000, 0.7667)  5 Mo 2.62-2.82, 2 Cu 2.74, 4 Tl 2.87
Tl (0.0000, 0.0000, 0.5111)  2 Tl 2.74, 6 Mo 2.83-2.98, 4 Cu 2.87

DFT (SCAN) results for a crystal of TlCuMo2 relaxed with PBEsol.

Computed properties:
* size of the total moment: 0.0 μB/cell
* density: 11770 kg/m3
* DFT total energy: -154.78 eV/cell

Cell: 2.8515 2.8515 7.9781 Å, 90.00 90.00 90.00°
With the nearest neighbours (Å) after each atom.
Sites, in units of the cell vectors:
Mo (0.5000, 0.5000, 0.2293)  8 Mo 2.78-2.85, 4 Tl 3.03
Cu (0.5000, 0.5000, 0.7679)  4 Mo 2.68, 4 Cu 2.85, 4 Tl 2.86
Tl (0.0000, 0.0000, 0.5132)  4 Tl 2.85, 4 Cu 2.86, 4 Mo 3.03
Mo (0.0000, 0.0000, 0.9896)  4 Cu 2.68, 8 Mo 2.78-2.85

DFT (SCAN) results for a crystal of Tl2CuMo relaxed with PBEsol.

Computed properties:
* size of the total moment: 0.0 μB/cell
* density: 12490 kg/m3
* DFT total energy: -192.17 eV/cell

Cell: 3.1276 4.5073 5.5673 Å, 90.00 105.71 90.00°
With the nearest neighbours (Å) after each atom.
Sites, in units of the cell vectors:
Tl (0.8922, 0.0000, 0.9193)  3 Cu 2.77-3.06, 4 Mo 2.85
Cu (0.1846, 0.0000, 0.4911)  2 Mo 2.72, 6 Tl 2.77-2.90
Mo (0.3231, 0.5000, 0.7744)  2 Cu 2.72, 7 Tl 2.85-2.92
Tl (0.6002, 0.5000, 0.3152)  3 Mo 2.90-2.92, 4 Cu 2.90, 2 Tl 3.13

DFT (SCAN) results for a crystal of TlCuMo2 relaxed with PBEsol.

Computed properties:
* size of the total moment: 0.0 μB/cell
* density: 12112 kg/m3
* DFT total energy: -155.32 eV/cell

Cell: 3.7771 3.7771 5.1631 Å, 111.46 111.46 90.00°
With the nearest neighbours (Å) after each atom.
Sites, in units of the cell vectors:
Mo (0.2500, 0.7500, 0.5000)  4 Mo 2.67, 4 Cu 2.91, 4 Tl 2.91
Cu (0.0000, 0.0000, 0.0000)  4 Tl 2.67, 8 Mo 2.91
Tl (0.5000, 0.5000, 0.0000)  4 Cu 2.67, 8 Mo 2.91
Mo (0.7500, 0.2500, 0.5000)  4 Mo 2.67, 4 Tl 2.91, 4 Cu 2.91

DFT (SCAN) results for a crystal of TlCuMo2 relaxed with PBEsol.

Computed properties:
* size of the total moment: 0.0 μB/cell
* density: 11971 kg/m3
* DFT total energy: -154.80 eV/cell

Cell: 2.7958 5.0778 5.0778 Å, 117.78 90.00 90.00°
With the nearest neighbours (Å) after each atom.
Sites, in units of the cell vectors:
Mo (0.0000, 0.5000, 0.0000)  4 Mo 2.62-2.80, 4 Tl 2.90, 4 Cu 2.90
Tl (0.5000, 0.0000, 0.0000)  2 Cu 2.62, 2 Tl 2.80, 8 Mo 2.90
Cu (0.5000, 0.5000, 0.5000)  2 Tl 2.62, 2 Cu 2.80, 8 Mo 2.90
Mo (0.0000, 0.0000, 0.5000)  4 Mo 2.62-2.80, 4 Cu 2.90, 4 Tl 2.90

DFT (SCAN) results for a crystal of CuMoW2 relaxed with PBEsol.

Computed properties:
* size of the total moment: 0.0 μB/cell
* density: 14881 kg/m3
* DFT total energy: -188.12 eV/cell

Cell: 2.6348 2.6348 8.4738 Å, 90.00 90.00 90.00°
With the nearest neighbours (Å) after each atom.
Sites, in units of the cell vectors:
Cu (0.0000, 0.0000, 0.4995)  4 Cu 2.63, 4 W 2.69, 4 Mo 2.70
Mo (0.5000, 0.5000, 0.7307)  4 Mo 2.63, 4 Cu 2.70, 4 W 2.95
W (0.0000, 0.0000, 0.9999)  8 W 2.63-2.95, 4 Mo 2.95
W (0.5000, 0.5000, 0.2698)  8 W 2.63-2.95, 4 Cu 2.69

size of the total moment of number 6 (TlCuMo2)? 0.0 μB/cell

size of the total moment of number 8 (CuMoW2)? 0.0 μB/cell

Copy entry 1 word for word.
DFT (SCAN) results for a crystal of Cu2TeMo relaxed with PBEsol.

Computed properties:
* size of the total moment: 0.0 μB/cell
* density: 9418 kg/m3
* DFT total energy: -100.34 eV/cell
* energy relative to the elements, uncorrected: 0.5499 eV per atom

Cell: 2.9176 4.8160 4.8160 Å, 114.00 90.00 90.00°
With the nearest neighbours (Å) after each atom.
Sites, in units of the cell vectors:
Cu (0.0000, 0.5000, 0.0000)  4 Cu 2.62-2.92, 4 Mo 2.82, 4 Te 2.82
Te (0.5000, 0.0000, 0.0000)  2 Mo 2.62, 8 Cu 2.82, 2 Te 2.92
Cu (0.0000, 0.0000, 0.5000)  4 Cu 2.62-2.92, 4 Te 2.82, 4 Mo 2.82
Mo (0.5000, 0.5000, 0.5000)  2 Te 2.62, 8 Cu 2.82, 2 Mo 2.92